# 1
A plane-wave DFT calculation with PBE was carried out for Sr2SbAu after structural relaxation.

```
data_Sr2SbAu
_cell_length_a 7.795
_cell_length_b 7.795
_cell_length_c 7.795
_cell_angle_alpha 90.00
_cell_angle_beta 90.00
_cell_angle_gamma 90.00
_space_group_name_H-M_alt 'F -4 3 m'
_space_group_IT_number 216
_space_group_name_Hall 'F -4 2 3'
loop_
_atom_site_label
_atom_site_type_symbol
_atom_site_fract_x
_atom_site_fract_y
_atom_site_fract_z
Sr1 Sr 0.000 0.000 0.000
Sr2 Sr 0.250 0.250 0.250
Sb1 Sb 0.250 0.250 0.750
Au1 Au 0.000 0.000 0.500
```

Calculated values
**Total DFT energy (no corrections)**: -3.08 eV/atom

=====

# 2
A plane-wave DFT calculation with PBE was carried out for Sr2SbAu after structural relaxation.

```
data_Sr2SbAu
_cell_length_a 5.547
_cell_length_b 5.547
_cell_length_c 3.974
_cell_angle_alpha 90.00
_cell_angle_beta 90.00
_cell_angle_gamma 90.00
_space_group_name_H-M_alt 'P 4/m m m'
_space_group_IT_number 123
_space_group_name_Hall '-P 4 2'
loop_
_atom_site_label
_atom_site_type_symbol
_atom_site_fract_x
_atom_site_fract_y
_atom_site_fract_z
Sr1 Sr 0.000 0.500 0.000
Sb1 Sb 0.000 0.000 0.500
Au1 Au 0.500 0.500 0.500
```

Calculated values
**Total DFT energy (no corrections)**: -3.55 eV/atom

=====

# 3
A plane-wave DFT calculation with PBE was carried out for SrSbAu2 after structural relaxation.

```
data_SrSbAu2
_cell_length_a 7.232
_cell_length_b 7.232
_cell_length_c 7.232
_cell_angle_alpha 90.00
_cell_angle_beta 90.00
_cell_angle_gamma 90.00
_space_group_name_H-M_alt 'F -4 3 m'
_space_group_IT_number 216
_space_group_name_Hall 'F -4 2 3'
loop_
_atom_site_label
_atom_site_type_symbol
_atom_site_fract_x
_atom_site_fract_y
_atom_site_fract_z
Sr1 Sr 0.000 0.000 0.000
Sb1 Sb 0.250 0.250 0.250
Au1 Au 0.000 0.000 0.500
Au2 Au 0.250 0.250 0.750
```

Calculated values
**Total DFT energy (no corrections)**: -3.43 eV/atom

=====

# 4
A plane-wave DFT calculation with PBE was carried out for Sr2SbAu after structural relaxation.

```
data_Sr2SbAu
_cell_length_a 7.866
_cell_length_b 7.866
_cell_length_c 7.866
_cell_angle_alpha 90.00
_cell_angle_beta 90.00
_cell_angle_gamma 90.00
_space_group_name_H-M_alt 'F m -3 m'
_space_group_IT_number 225
_space_group_name_Hall '-F 4 2 3'
loop_
_atom_site_label
_atom_site_type_symbol
_atom_site_fract_x
_atom_site_fract_y
_atom_site_fract_z
Sr1 Sr 0.250 0.250 0.250
Sb1 Sb 0.000 0.000 0.000
Au1 Au 0.000 0.000 0.500
```

Calculated values
**Total DFT energy (no corrections)**: -3.63 eV/atom

=====

# 5
A plane-wave DFT calculation with PBE was carried out for Sr2SbAu after structural relaxation.

```
data_Sr2SbAu
_cell_length_a 7.843
_cell_length_b 7.966
_cell_length_c 7.819
_cell_angle_alpha 90.00
_cell_angle_beta 90.00
_cell_angle_gamma 90.00
_space_group_name_H-M_alt 'I m m a'
_space_group_IT_number 74
_space_group_name_Hall '-I 2b 2'
loop_
_atom_site_label
_atom_site_type_symbol
_atom_site_fract_x
_atom_site_fract_y
_atom_site_fract_z
Sr1 Sr 0.250 0.004 0.250
Sb1 Sb 0.000 0.250 0.506
Au1 Au 0.000 0.250 0.997
```

Calculated values
**Total DFT energy (no corrections)**: -3.55 eV/atom

=====

# 6
A plane-wave DFT calculation with PBE was carried out for TcSbAu2 after structural relaxation.

```
data_TcSbAu2
_cell_length_a 6.599
_cell_length_b 6.599
_cell_length_c 6.599
_cell_angle_alpha 90.00
_cell_angle_beta 90.00
_cell_angle_gamma 90.00
_space_group_name_H-M_alt 'F -4 3 m'
_space_group_IT_number 216
_space_group_name_Hall 'F -4 2 3'
loop_
_atom_site_label
_atom_site_type_symbol
_atom_site_fract_x
_atom_site_fract_y
_atom_site_fract_z
Tc1 Tc 0.000 0.000 0.000
Sb1 Sb 0.250 0.250 0.750
Au1 Au 0.000 0.000 0.500
Au2 Au 0.250 0.250 0.250
```

Calculated values
**Total DFT energy (no corrections)**: -4.90 eV/atom

=====

# 7
A plane-wave DFT calculation with PBE was carried out for TlSb5Au3 after structural relaxation.

```
data_TlSb5Au3
_cell_length_a 5.6520
_cell_length_b 5.6520
_cell_length_c 8.7346
_cell_angle_alpha 90.00
_cell_angle_beta 90.00
_cell_angle_gamma 120.00
_space_group_name_H-M_alt 'P 6/m m m'
_space_group_IT_number 191
_space_group_name_Hall '-P 6 2'
loop_
_atom_site_label
_atom_site_type_symbol
_atom_site_fract_x
_atom_site_fract_y
_atom_site_fract_z
Tl1 Tl 0.0000 0.0000 0.0000
Sb1 Sb 0.0000 0.0000 0.5000
Sb2 Sb 0.3333 0.6667 0.1777
Au1 Au 0.0000 0.5000 0.5000
```

Calculated values
**Total DFT energy (no corrections)**: -3.48 eV/atom

=====

# 8
A plane-wave DFT calculation with PBE was carried out for TlSb2Au after structural relaxation.

```
data_TlSb2Au
_cell_length_a 7.408
_cell_length_b 7.408
_cell_length_c 7.408
_cell_angle_alpha 90.00
_cell_angle_beta 90.00
_cell_angle_gamma 90.00
_space_group_name_H-M_alt 'F -4 3 m'
_space_group_IT_number 216
_space_group_name_Hall 'F -4 2 3'
loop_
_atom_site_label
_atom_site_type_symbol
_atom_site_fract_x
_atom_site_fract_y
_atom_site_fract_z
Tl1 Tl 0.000 0.000 0.000
Sb1 Sb 0.000 0.000 0.500
Sb2 Sb 0.250 0.250 0.750
Au1 Au 0.250 0.250 0.250
```

Calculated values
**Total DFT energy (no corrections)**: -3.29 eV/atom

=====

# 9
A plane-wave DFT calculation with PBE was carried out for SbWAu after structural relaxation.

```
data_SbWAu
_cell_length_a 6.429
_cell_length_b 6.429
_cell_length_c 6.429
_cell_angle_alpha 90.00
_cell_angle_beta 90.00
_cell_angle_gamma 90.00
_space_group_name_H-M_alt 'F -4 3 m'
_space_group_IT_number 216
_space_group_name_Hall 'F -4 2 3'
loop_
_atom_site_label
_atom_site_type_symbol
_atom_site_fract_x
_atom_site_fract_y
_atom_site_fract_z
Sb1 Sb 0.000 0.000 0.000
W1 W 0.250 0.250 0.750
Au1 Au 0.000 0.000 0.500
```

Calculated values
**E above lowest polymorph**: 0.000 eV per formula unit

=====

# 10
A plane-wave DFT calculation with PBE was carried out for Zn2SbAu after structural relaxation.

```
data_Zn2SbAu
_cell_length_a 6.793
_cell_length_b 6.793
_cell_length_c 6.793
_cell_angle_alpha 90.00
_cell_angle_beta 90.00
_cell_angle_gamma 90.00
_space_group_name_H-M_alt 'F -4 3 m'
_space_group_IT_number 216
_space_group_name_Hall 'F -4 2 3'
loop_
_atom_site_label
_atom_site_type_symbol
_atom_site_fract_x
_atom_site_fract_y
_atom_site_fract_z
Zn1 Zn 0.000 0.000 0.000
Zn2 Zn 0.250 0.250 0.250
Sb1 Sb 0.000 0.000 0.500
Au1 Au 0.250 0.250 0.750
```

Calculated values
**Total DFT energy (no corrections)**: -2.35 eV/atom

=====

# 11
A plane-wave DFT calculation with PBE was carried out for Zr3Sb5Au after structural relaxation.

```
data_Zr3Sb5Au
_cell_length_a 6.0640
_cell_length_b 6.0640
_cell_length_c 7.6890
_cell_angle_alpha 90.00
_cell_angle_beta 90.00
_cell_angle_gamma 120.00
_space_group_name_H-M_alt 'P 6/m m m'
_space_group_IT_number 191
_space_group_name_Hall '-P 6 2'
loop_
_atom_site_label
_atom_site_type_symbol
_atom_site_fract_x
_atom_site_fract_y
_atom_site_fract_z
Zr1 Zr 0.0000 0.5000 0.0000
Sb1 Sb 0.0000 0.0000 0.0000
Sb2 Sb 0.3333 0.6667 0.3094
Au1 Au 0.0000 0.0000 0.5000
```

Calculated values
**Total DFT energy (no corrections)**: -5.54 eV/atom

=====

# 12
A plane-wave DFT calculation with PBE was carried out for Zr5Sb3Au after structural relaxation.

```
data_Zr5Sb3Au
_cell_length_a 8.7335
_cell_length_b 8.7335
_cell_length_c 5.9085
_cell_angle_alpha 90.00
_cell_angle_beta 90.00
_cell_angle_gamma 120.00
_space_group_name_H-M_alt 'P 63/m c m'
_space_group_IT_number 193
_space_group_name_Hall '-P 6c 2'
loop_
_atom_site_label
_atom_site_type_symbol
_atom_site_fract_x
_atom_site_fract_y
_atom_site_fract_z
Zr1 Zr 0.0000 0.2779 0.2500
Zr2 Zr 0.3333 0.6667 0.0000
Sb1 Sb 0.0000 0.3822 0.7500
Au1 Au 0.0000 0.0000 0.0000
```

Calculated values
**Total DFT energy (no corrections)**: -7.22 eV/atom

=====

Short version: ρ = 6.927 6.709 10.595 6.741 6.717 14.182 9.648 10.536 12.561 9.526 7.320 8.666 g cm⁻³, in the order given.